No. 1
## Ba2Na2Sr5Ac (GGA-PBE)

Data for Ba2Na2Sr5Ac after structural relaxation.

Structure (POSCAR):
```
Ba2Na2Sr5Ac
1.0
14.166 0.000 0.000
0.000 14.166 0.000
0.000 0.000 5.271
Ba Na Sr Ac
4 4 10 2
Cartesian
2.506 4.577 0.000
4.577 11.660 0.000
9.589 2.506 0.000
11.660 9.589 0.000
1.765 8.848 0.000
5.318 1.765 0.000
8.848 12.401 0.000
12.401 5.318 0.000
0.000 7.083 2.636
0.881 11.280 2.636
2.885 0.881 2.636
4.197 7.964 2.636
6.202 4.197 2.636
7.083 0.000 2.636
7.964 9.968 2.636
9.968 6.202 2.636
11.280 13.285 2.636
13.285 2.885 2.636
0.000 0.000 0.000
7.083 7.083 0.000
```

- ΔH_f (0 K): 0.09 eV/atom
- Magnetization: 0.0 μB per formula unit

***

No. 2
## BaNaSrAc (GGA-PBE)

Data for BaNaSrAc after structural relaxation.

Structure (POSCAR):
```
BaNaSrAc
1.0
0.000 4.644 4.644
4.644 0.000 4.644
4.644 4.644 0.000
Ba Na Sr Ac
1 1 1 1
Cartesian
0.000 0.000 0.000
6.966 6.966 6.966
4.644 4.644 4.644
2.322 2.322 2.322
```

- ΔH_f (0 K): 0.20 eV/atom
- Magnetization: 0.0 μB per formula unit

***

No. 3
## Ba2NaAcTe4 (GGA-PBE)

Data for Ba2NaAcTe4 after structural relaxation.

Structure (POSCAR):
```
Ba2NaAcTe4
1.0
8.397 0.000 0.000
0.000 4.897 0.000
-2.738 0.000 7.960
Ba Na Ac Te
2 1 1 4
Cartesian
0.000 0.000 0.000
4.199 2.449 0.000
-1.369 2.449 3.980
2.830 0.000 3.980
0.091 0.000 5.864
1.422 2.449 2.127
4.237 2.449 5.833
5.568 0.000 2.096
```

- Magnetization: 0.0 μB per formula unit
- Formation energy without anion corrections: -151.0 kJ per mole of atoms

***

No. 4
## BaNaAcTl (GGA-PBE)

Data for BaNaAcTl after structural relaxation.

Structure (POSCAR):
```
BaNaAcTl
1.0
0.000 4.266 4.266
4.266 0.000 4.266
4.266 4.266 0.000
Ba Na Ac Tl
1 1 1 1
Cartesian
0.000 0.000 0.000
2.133 2.133 2.133
4.266 4.266 4.266
6.399 6.399 6.399
```

- ΔH_f (0 K): -0.12 eV/atom
- Magnetization: 0.0 μB per formula unit

***

What are the total DFT energy (no corrections) values for these records? In order: -1.81; -2.06; -4.29; -2.55 eV per atom.